1.
Below is a relaxed CaTb2ReO8 crystal, with properties calculated at the PBE level.

a = 5.035 Å, b = 5.032 Å, c = 6.969 Å
α = 90.00°, β = 90.00°, γ = 90.78°
Each line ends with the local moment (μB).
Atoms (fractional coordinates):
1 Ca 0.000 0.000 0.500  0.01
2 Tb 0.500 0.500 0.751  -0.01
3 Tb 0.500 0.500 0.249  -0.01
4 Re 0.000 0.000 0.000  -0.05
5 O 0.182 0.817 0.196  0.05
6 O 0.728 0.729 0.000  0.11
7 O 0.818 0.182 0.196  0.05
8 O 0.818 0.183 0.804  0.05
9 O 0.272 0.271 0.000  0.11
10 O 0.182 0.818 0.804  0.05
11 O 0.686 0.686 0.500  0.23
12 O 0.314 0.314 0.500  0.23

Calculated values
- crystal system = orthorhombic
- ΔE_f (raw) (eV/atom) = -2.49

---

2.
Below is a relaxed CaRe2TcO crystal, with properties calculated at the PBE level.

a = 4.604 Å, b = 5.993 Å, c = 4.604 Å
α = 90.00°, β = 90.00°, γ = 90.00°
Each line ends with the local moment (μB).
Atoms (fractional coordinates):
1 Re 0.000 0.000 0.500  1.31
2 Re 0.500 0.000 0.000  1.41
3 Ca 0.000 0.500 0.000  -0.01
4 Tc 0.000 0.000 0.000  -0.16
5 O 0.500 0.500 0.500  0.74

Calculated values
- crystal system = tetragonal
- ΔE_f (raw) (eV/atom) = 1.71

---

Raw total energy values (in eV for the cell shown) by entry order: -93.2; -33.7.